## w
# Li6Pd4O11

A relaxed structure of Li6Pd4O11 (PBE, the Open Quantum Materials Database).

Unit cell a=10.2092 b=5.1266 c=4.9981 alpha=99.08 beta=99.02 gamma=120.12
Fractional coordinates of all 21 atoms:
O 0.7143 0.0686 0.7600
O 0.4584 0.5714 0.2345
O 0.6176 0.2360 0.2297
O 0.3764 0.7605 0.7628
O 0.7843 0.9145 0.2310
O 0.8732 0.7400 0.7589
O 0.2118 0.0970 0.7806
O 0.2772 0.9319 0.2393
O 0.0455 0.4221 0.7727
O 0.9645 0.5470 0.2348
O 0.5402 0.4308 0.7690
Li 0.3539 0.3599 0.5147
Li 0.2575 0.5195 0.9900
Li 0.1761 0.7183 0.5191
Li 0.8263 0.3303 0.4924
Li 0.6703 0.6529 0.4944
Li 0.7447 0.4874 0.9929
Pd 0.9173 0.1439 0.9920
Pd 0.5813 0.8354 0.9979
Pd 0.0730 0.8247 0.9953
Pd 0.4160 0.1675 0.0035

Space group = P1

=====

## x
# Li6Pd4O11

A relaxed structure of Li6Pd4O11 (PBE, the Open Quantum Materials Database).

Unit cell a=10.4109 b=5.1336 c=5.0092 alpha=99.44 beta=98.97 gamma=121.71
Fractional coordinates of all 21 atoms:
Li 0.2271 0.4879 0.9688
Li 0.3126 0.3113 0.5085
Li 0.8388 0.3490 0.4964
Li 0.6954 0.6589 0.5107
Li 0.1691 0.6610 0.4958
Li 0.7526 0.4995 0.0021
O 0.5373 0.4356 0.7542
O 0.7766 0.9144 0.2341
O 0.2219 0.0921 0.7762
O 0.3762 0.7505 0.7820
O 0.7163 0.0602 0.7605
O 0.1255 0.2577 0.2318
O 0.8816 0.7532 0.7726
O 0.9624 0.5710 0.2346
O 0.0355 0.4326 0.7638
O 0.2878 0.9457 0.2372
O 0.6181 0.2372 0.2348
Pd 0.9175 0.1606 0.0026
Pd 0.5783 0.8318 0.9982
Pd 0.0835 0.8434 0.0033
Pd 0.4235 0.1795 0.9985

Space group = P1

=====

Which of them is the least stable? Correct choice: w.

=====

## w
# Li3PdO4

A relaxed structure of Li3PdO4 (PBE, the Open Quantum Materials Database).

Unit cell a=5.0288 b=11.8377 c=5.0894 alpha=90.00 beta=109.33 gamma=90.00
Fractional coordinates of all 32 atoms:
O 0.2369 0.7537 0.7499
O 0.2390 0.2509 0.7626
O 0.7579 0.3705 0.7588
O 0.7610 0.2509 0.2374
O 0.2525 0.4975 0.7453
O 0.7475 0.4975 0.2547
O 0.7576 0.6276 0.7645
O 0.2421 0.3705 0.2412
O 0.2424 0.6276 0.2355
O 0.2390 0.9966 0.7493
O 0.7618 0.1263 0.7658
O 0.2359 0.8761 0.2464
O 0.2382 0.1263 0.2342
O 0.7631 0.7537 0.2501
O 0.7641 0.8761 0.7536
O 0.7610 0.9966 0.2507
Li 0.5000 0.2594 0.5000
Li 0.5000 0.7305 0.5000
Li 0.5000 0.1341 0.0000
Li 0.0000 0.6109 0.5000
Li 0.0000 0.4990 0.0000
Li 0.5000 0.4944 0.5000
Li 0.0000 0.3817 0.5000
Li 0.5000 0.6073 0.0000
Li 0.0000 0.1327 0.5000
Li 0.5000 0.8737 0.0000
Li 0.5000 0.0171 0.5000
Li 0.5000 0.3822 0.0000
Pd 0.0000 0.0044 0.0000
Pd 0.0000 0.7411 0.0000
Pd 0.0000 0.2586 0.0000
Pd 0.0000 0.8745 0.5000

Space group = P2

=====

## x
# Li3PdO4

A relaxed structure of Li3PdO4 (PBE, the Open Quantum Materials Database).

Unit cell a=5.0348 b=5.0348 c=5.0202 alpha=101.18 beta=101.18 gamma=34.45
Fractional coordinates of all 8 atoms:
Li 0.7487 0.7487 0.7313
Li 0.0000 0.0000 0.5000
Li 0.2513 0.2513 0.2687
Pd 0.5000 0.5000 0.0000
O 0.8809 0.8809 0.1119
O 0.3783 0.3783 0.6344
O 0.1191 0.1191 0.8880
O 0.6217 0.6217 0.3656

Space group = C2/m

=====

Which of them is the least stable? Correct choice: w.